1.
AcSnHPd | PBE | optimized geometry

Properties
Uncorrected energy = -4.845 eV/atom
D(E_F) = 1.4 states/eV per cell
Total moment = 0.00 μB per cell
Space-group type = P-6m2 (187)

Cell: 4.9173 4.9173 3.8854 Å, 90.00 90.00 120.00°
Last column: nearest neighbours and their distance in Å.
Fractional positions:
1 Sn 0.9053 0.8105 0.8098  3 Pd 2.84
2 Pd 0.2386 0.4772 0.8099  2 H 1.94
3 H 0.2386 0.4772 0.3095  2 Pd 1.94
4 Ac 0.5719 0.1438 0.3099  3 H 2.84

***

2.
Ac3SnH2Pd6 | PBE | optimized geometry

Properties
Uncorrected energy = -5.102 eV/atom
D(E_F) = 4.8 states/eV per cell
Total moment = 0.00 μB per cell
Space-group type = P-3m1 (164)

Cell: 5.8407 5.8407 9.4228 Å, 90.00 90.00 120.00°
Last column: nearest neighbours and their distance in Å.
Fractional positions:
1 Pd 0.6592 0.8296 0.2652  1 H 1.84
2 Pd 0.1704 0.3408 0.2652  1 H 1.84
3 Pd 0.1704 0.8296 0.2652  1 H 1.84
4 Pd 0.3408 0.1704 0.7348  1 H 1.84
5 Pd 0.8296 0.6592 0.7348  1 H 1.84
6 Pd 0.8296 0.1704 0.7348  1 H 1.84
7 Sn 0.0000 0.0000 0.5000  6 Pd 2.80
8 H 0.6667 0.3333 0.8224  3 Pd 1.84
9 H 0.3333 0.6667 0.1776  3 Pd 1.84
10 Ac 0.3333 0.6667 0.6272  6 Pd 3.09
11 Ac 0.0000 0.0000 0.0000  6 Pd 3.04
12 Ac 0.6667 0.3333 0.3728  6 Pd 3.09

***

3.
SrAcH6Pd4 | PBE | optimized geometry

Properties
Uncorrected energy = -4.249 eV/atom
D(E_F) = 7.2 states/eV per cell
Total moment = 0.00 μB per cell
Space-group type = P6/mmm (191)

Cell: 5.0035 5.0035 7.5361 Å, 90.00 90.00 120.00°
Last column: nearest neighbours and their distance in Å.
Fractional positions:
1 H 0.5000 0.5000 0.6636  2 Pd 1.76
2 H 0.5000 0.5000 0.3364  2 Pd 1.76
3 H 0.5000 0.0000 0.6636  2 Pd 1.76
4 H 0.0000 0.5000 0.3364  2 Pd 1.76
5 H 0.5000 0.0000 0.3364  2 Pd 1.76
6 H 0.0000 0.5000 0.6636  2 Pd 1.76
7 Pd 0.3333 0.6667 0.2036  3 H 1.76
8 Pd 0.6667 0.3333 0.2036  3 H 1.76
9 Pd 0.3333 0.6667 0.7964  3 H 1.76
10 Pd 0.6667 0.3333 0.7964  3 H 1.76
11 Sr 0.0000 0.0000 0.5000  12 H 2.79
12 Ac 0.0000 0.0000 0.0000  12 Pd 3.27, 12 H 3.56

***

4.
SrAcH6Pd2 | PBE | optimized geometry

Properties
Uncorrected energy = -3.918 eV/atom
D(E_F) = 3.7 states/eV per cell
Total moment = 0.00 μB per cell
Space-group type = R-3m (166)

Cell: 5.0464 5.0464 6.6698 Å, 67.77 67.77 60.00°
Last column: nearest neighbours and their distance in Å.
Fractional positions:
1 H 0.4359 0.9540 0.1743  1 Pd 1.72
2 H 0.4358 0.4359 0.1743  1 Pd 1.72
3 H 0.5642 0.5641 0.8257  1 Pd 1.72
4 H 0.0460 0.5642 0.8257  1 Pd 1.72
5 H 0.5641 0.0460 0.8257  1 Pd 1.72
6 H 0.9540 0.4358 0.1743  1 Pd 1.72
7 Pd 0.7799 0.7799 0.6603  3 H 1.72
8 Pd 0.2201 0.2201 0.3397  3 H 1.72
9 Sr 0.5000 0.5000 0.5000  6 H 2.47
10 Ac 0.0000 0.0000 0.0000  12 H 2.73

***

> Look up the uncorrected energy of the fourth one.

-3.918 eV/atom